B7C3 | GGA-PBE | relaxed

Unit cell a=8.850 b=2.771 c=6.679 alpha=90.00 beta=118.21 gamma=90.00
Space group Cm (No. 8)
Symmetry-distinct sites (fractional):
B 0.000 0.000 0.000
B 0.016 0.000 0.427
B 0.162 0.000 0.899
B 0.255 0.000 0.194
B 0.292 0.500 0.545
B 0.392 0.000 0.007
B 0.441 0.000 0.785
C 0.112 0.500 0.756
C 0.113 0.500 0.533
C 0.316 0.500 0.329

ΔE_f (meV/atom): 359
E above lowest polymorph (eV per formula unit): 0.67

SmInPb | GGA-PBE | relaxed

Unit cell a=4.7896 b=4.7896 c=4.4672 alpha=90.00 beta=90.00 gamma=120.00
Space group P3m1 (No. 156)
Symmetry-distinct sites (fractional):
Sm 0.0000 0.0000 0.0000
In 0.3333 0.6667 0.3500
Pb 0.6667 0.3333 0.6158

ΔE_f (meV/atom): -331
E above lowest polymorph (eV per formula unit): 0.23

PmPrY2Se4 | GGA-PBE | relaxed

Unit cell a=7.152 b=4.096 c=7.334 alpha=90.00 beta=108.72 gamma=90.00
Space group P2/m (No. 10)
Symmetry-distinct sites (fractional):
Pm 0.000 0.000 0.000
Pr 0.500 0.500 0.000
Y 0.000 0.500 0.500
Y 0.500 0.000 0.500
Se 0.243 0.000 0.735
Se 0.252 0.500 0.263

Formation energy (no corrections) (kJ/mol of atoms): -174.1

Pu2PaPd | GGA-PBE | relaxed

Unit cell a=4.214 b=4.214 c=5.180 alpha=90.00 beta=90.00 gamma=90.00
Space group P4/mmm (No. 123)
Symmetry-distinct sites (fractional):
Pu 0.000 0.500 0.000
Pa 0.000 0.000 0.500
Pd 0.500 0.500 0.500

ΔE_f (meV/atom): -60
E above lowest polymorph (eV per formula unit): 0.40

InBrCl | GGA-PBE | relaxed

Unit cell a=13.654 b=4.013 c=8.452 alpha=90.00 beta=114.86 gamma=90.00
Space group Cm (No. 8)
Symmetry-distinct sites (fractional):
In 0.000 0.000 0.000
In 0.121 0.500 0.570
Br 0.152 0.500 0.114
Br 0.345 0.000 0.889
Cl 0.000 0.000 0.703
Cl 0.486 0.500 0.287

Formation energy (no corrections) (kJ/mol of atoms): -83.8

RbAgS2Cl | GGA-PBE | relaxed

Unit cell a=6.071 b=6.071 c=5.971 alpha=90.00 beta=90.00 gamma=90.00
Space group P4/mmm (No. 123)
Symmetry-distinct sites (fractional):
Rb 0.000 0.000 0.000
Ag 0.500 0.500 0.500
S 0.000 0.500 0.000
Cl 0.000 0.000 0.500

E above lowest polymorph (eV per formula unit): 4.99
Formation energy (no corrections) (kJ/mol of atoms): 74.8